# 1
# InPbICl2 | Alexandria | PBE-GGA | relaxed
data_InPbICl2
_cell_length_a 5.621
_cell_length_b 5.621
_cell_length_c 6.439
_cell_angle_alpha 90.00
_cell_angle_beta 90.00
_cell_angle_gamma 90.00
_symmetry_space_group_name_H-M 'P 1'
_symmetry_Int_Tables_number 1
_symmetry_space_group_name_Hall 'P 1'
loop_
_atom_site_label
_atom_site_fract_x
_atom_site_fract_y
_atom_site_fract_z
Pb1 0.000 0.000 0.000
Cl1 0.000 0.500 0.000
Cl2 0.500 0.000 0.000
I1 0.000 0.000 0.500
In1 0.500 0.500 0.500
# * volume: 203.5 Å³/cell
# * E_form (uncorrected): -0.77 eV/atom

# 2
# In2PbI2Cl2 | Alexandria | PBE-GGA | relaxed
data_In2PbI2Cl2
_cell_length_a 4.373
_cell_length_b 8.042
_cell_length_c 8.305
_cell_angle_alpha 69.52
_cell_angle_beta 74.80
_cell_angle_gamma 90.06
_symmetry_space_group_name_H-M 'P 1'
_symmetry_Int_Tables_number 1
_symmetry_space_group_name_Hall 'P 1'
loop_
_atom_site_label
_atom_site_fract_x
_atom_site_fract_y
_atom_site_fract_z
In1 0.872 0.436 0.254
I1 0.787 0.765 0.427
Cl1 0.515 0.768 0.970
Cl2 0.485 0.232 0.030
I2 0.213 0.235 0.573
In2 0.128 0.564 0.746
Pb1 0.000 0.000 0.000
# * volume: 262.6 Å³/cell
# * E_form (uncorrected): -0.72 eV/atom

# 3
# InPbI2Cl | Alexandria | PBE-GGA | relaxed
data_InPbI2Cl
_cell_length_a 6.362
_cell_length_b 6.362
_cell_length_c 5.575
_cell_angle_alpha 90.00
_cell_angle_beta 90.00
_cell_angle_gamma 90.00
_symmetry_space_group_name_H-M 'P 1'
_symmetry_Int_Tables_number 1
_symmetry_space_group_name_Hall 'P 1'
loop_
_atom_site_label
_atom_site_fract_x
_atom_site_fract_y
_atom_site_fract_z
In1 0.500 0.500 0.500
Cl1 0.000 0.000 0.500
I1 0.000 0.500 0.000
I2 0.500 0.000 0.000
Pb1 0.000 0.000 0.000
# * offset from the most stable computed form: 118.4 meV/atom
# * volume: 225.7 Å³/cell
# * E_form (uncorrected): -0.60 eV/atom

# 4
# InPbICl4 | Alexandria | PBE-GGA | relaxed
data_InPbICl4
_cell_length_a 8.311
_cell_length_b 8.311
_cell_length_c 9.115
_cell_angle_alpha 74.88
_cell_angle_beta 74.88
_cell_angle_gamma 69.04
_symmetry_space_group_name_H-M 'P 1'
_symmetry_Int_Tables_number 1
_symmetry_space_group_name_Hall 'P 1'
loop_
_atom_site_label
_atom_site_fract_x
_atom_site_fract_y
_atom_site_fract_z
Pb1 0.827 0.827 0.098
Cl1 0.456 0.456 0.822
Cl2 0.298 0.298 0.539
Cl3 0.911 0.526 0.834
I1 0.006 0.006 0.227
Cl4 0.089 0.474 0.166
Pb2 0.173 0.173 0.902
In1 0.637 0.637 0.736
Cl5 0.544 0.544 0.178
Cl6 0.526 0.911 0.834
Cl7 0.474 0.089 0.166
In2 0.363 0.363 0.264
I2 0.994 0.994 0.773
Cl8 0.702 0.702 0.461
# * volume: 557.7 Å³/cell
# * E_form (uncorrected): -0.95 eV/atom

# 5
# InPbI2Cl | Alexandria | PBE-GGA | relaxed
data_InPbI2Cl
_cell_length_a 4.665
_cell_length_b 7.996
_cell_length_c 10.898
_cell_angle_alpha 90.00
_cell_angle_beta 90.00
_cell_angle_gamma 106.96
_symmetry_space_group_name_H-M 'P 1'
_symmetry_Int_Tables_number 1
_symmetry_space_group_name_Hall 'P 1'
loop_
_atom_site_label
_atom_site_fract_x
_atom_site_fract_y
_atom_site_fract_z
I1 0.642 0.284 0.559
In1 0.718 0.436 0.250
I2 0.642 0.284 0.941
I3 0.358 0.716 0.059
I4 0.358 0.716 0.441
Cl1 0.925 0.850 0.750
In2 0.282 0.564 0.750
Cl2 0.075 0.150 0.250
Pb1 0.000 0.000 0.500
Pb2 0.000 0.000 0.000
# * offset from the most stable computed form: 0.0 meV/atom
# * volume: 388.8 Å³/cell
# * E_form (uncorrected): -0.72 eV/atom

# 6
# PuIn2I3Cl3 | Alexandria | PBE-GGA | relaxed
data_PuIn2I3Cl3
_cell_length_a 4.095
_cell_length_b 8.802
_cell_length_c 8.802
_cell_angle_alpha 120.00
_cell_angle_beta 90.00
_cell_angle_gamma 90.00
_symmetry_space_group_name_H-M 'P 1'
_symmetry_Int_Tables_number 1
_symmetry_space_group_name_Hall 'P 1'
loop_
_atom_site_label
_atom_site_fract_x
_atom_site_fract_y
_atom_site_fract_z
Cl1 0.500 0.000 0.780
I1 0.000 0.000 0.411
Cl2 0.500 0.220 0.220
I2 0.000 0.589 0.589
In1 0.500 0.667 0.333
Pu1 0.000 0.000 0.000
In2 0.500 0.333 0.667
Cl3 0.500 0.780 0.000
I3 0.000 0.411 0.000
# * volume: 274.8 Å³/cell
# * E_form (uncorrected): -1.01 eV/atom

Total moment in μB/f.u., matching the order above: 0.000, 0.000, 0.000, 0.000, 0.000, 4.842